## CsRb2AgPt (GGA-PBE)

Data for a geometry-optimized CsRb2AgPt structure.

Cell: 6.359 6.359 5.493 Å, 90.00 90.00 90.00°
Space group P4/mmm (No. 123)
Unique sites:
Cs 0.000 0.000 0.000 (multiplicity 1)
Rb 0.000 0.500 0.500 (multiplicity 2)
Ag 0.500 0.500 0.000 (multiplicity 1)
Pt 0.500 0.500 0.500 (multiplicity 1)

Calculated values
* magnetic moment: 0.00 μB per atom
* formation energy from the elements: 131.5 meV/atom
* DFT total energy: -0.1620 Ry per atom
* calculated density: 4.54 g/cm³
* DOS at the Fermi energy: 0.48 states/eV/atom

***

## CsSc2AgPt (GGA-PBE)

Data for a geometry-optimized CsSc2AgPt structure.

Cell: 5.109 5.109 6.672 Å, 90.00 90.00 90.00°
Space group P4/mmm (No. 123)
Unique sites:
Cs 0.000 0.000 0.000 (multiplicity 1)
Sc 0.000 0.500 0.500 (multiplicity 2)
Ag 0.500 0.500 0.000 (multiplicity 1)
Pt 0.000 0.000 0.500 (multiplicity 1)

Calculated values
* magnetic moment: 0.00 μB per atom
* formation energy from the elements: 161.1 meV/atom
* DFT total energy: -0.3176 Ry per atom
* calculated density: 5.01 g/cm³
* DOS at the Fermi energy: 0.87 states/eV/atom

***

## Cs2Tl6AgPt (GGA-PBE)

Data for a geometry-optimized Cs2Tl6AgPt structure.

Cell: 7.8138 7.8138 6.5215 Å, 90.00 90.00 120.00°
Space group P-3m1 (No. 164)
Unique sites:
Cs 0.3333 0.6667 0.2222 (multiplicity 2)
Tl 0.1788 0.3576 0.7289 (multiplicity 6)
Ag 0.0000 0.0000 0.0000 (multiplicity 1)
Pt 0.0000 0.0000 0.5000 (multiplicity 1)

Calculated values
* magnetic moment: 0.00 μB per atom
* formation energy from the elements: -11.3 meV/atom
* DFT total energy: -0.1831 Ry per atom
* calculated density: 8.64 g/cm³
* DOS at the Fermi energy: 0.91 states/eV/atom

***

## Cs2Tl2AgPt2 (GGA-PBE)

Data for a geometry-optimized Cs2Tl2AgPt2 structure.

Cell: 13.996 4.511 9.815 Å, 90.00 129.87 90.00°
Space group C2/m (No. 12)
Unique sites:
Cs 0.202 0.000 0.146 (multiplicity 4)
Tl 0.038 0.500 0.307 (multiplicity 4)
Ag 0.000 0.000 0.500 (multiplicity 2)
Pt 0.192 0.000 0.491 (multiplicity 4)

Calculated values
* magnetic moment: 0.00 μB per atom
* formation energy from the elements: -156.3 meV/atom
* DFT total energy: -0.2359 Ry per atom
* calculated density: 8.19 g/cm³
* DOS at the Fermi energy: 0.31 states/eV/atom

***

## CsTl2AgPt (GGA-PBE)

Data for a geometry-optimized CsTl2AgPt structure.

Cell: 5.350 5.350 6.599 Å, 90.00 90.00 90.00°
Space group P4/mmm (No. 123)
Unique sites:
Cs 0.000 0.000 0.000 (multiplicity 1)
Tl 0.000 0.500 0.500 (multiplicity 2)
Ag 0.500 0.500 0.000 (multiplicity 1)
Pt 0.000 0.000 0.500 (multiplicity 1)

Calculated values
* magnetic moment: 0.00 μB per atom
* formation energy from the elements: 99.0 meV/atom
* DFT total energy: -0.2055 Ry per atom
* calculated density: 7.43 g/cm³
* DOS at the Fermi energy: 0.26 states/eV/atom

***

## Cs2TlAgPt (GGA-PBE)

Data for a geometry-optimized Cs2TlAgPt structure.

Cell: 6.686 6.686 5.296 Å, 90.00 90.00 90.00°
Space group P4/mmm (No. 123)
Unique sites:
Cs 0.000 0.500 0.000 (multiplicity 2)
Tl 0.000 0.000 0.500 (multiplicity 1)
Ag 0.500 0.500 0.500 (multiplicity 1)
Pt 0.000 0.000 0.000 (multiplicity 1)

Calculated values
* magnetic moment: 0.00 μB per atom
* formation energy from the elements: 29.2 meV/atom
* DFT total energy: -0.1884 Ry per atom
* calculated density: 5.42 g/cm³
* DOS at the Fermi energy: 0.16 states/eV/atom

***

## CsTl2AgPt (GGA-PBE)

Data for a geometry-optimized CsTl2AgPt structure.

Cell: 5.344 5.344 5.607 Å, 90.00 90.00 90.00°
Space group P4/mmm (No. 123)
Unique sites:
Cs 0.000 0.000 0.000 (multiplicity 1)
Tl 0.000 0.500 0.500 (multiplicity 2)
Ag 0.500 0.500 0.000 (multiplicity 1)
Pt 0.500 0.500 0.500 (multiplicity 1)

Calculated values
* magnetic moment: 0.00 μB per atom
* formation energy from the elements: -58.7 meV/atom
* DFT total energy: -0.2171 Ry per atom
* calculated density: 8.76 g/cm³
* DOS at the Fermi energy: 0.40 states/eV/atom

***

## Cs2Tl12AgPt3 (GGA-PBE)

Data for a geometry-optimized Cs2Tl12AgPt3 structure.

Cell: 10.6908 10.6908 19.7503 Å, 90.00 90.00 120.00°
Space group R-3m (No. 166, hexagonal axes)
Unique sites:
Cs 0.0000 0.0000 0.0998 (multiplicity 6)
Tl 0.0060 0.5030 0.1403 (multiplicity 18)
Tl 0.0971 0.5486 0.3190 (multiplicity 18)
Ag 0.0000 0.0000 0.5000 (multiplicity 3)
Pt 0.0000 0.5000 0.0000 (multiplicity 9)

Calculated values
* magnetic moment: 0.00 μB per atom
* formation energy from the elements: 17.5 meV/atom
* DFT total energy: -0.2073 Ry per atom
* calculated density: 8.69 g/cm³
* DOS at the Fermi energy: 0.81 states/eV/atom

***

## Cs2ZnAgPt (GGA-PBE)

Data for a geometry-optimized Cs2ZnAgPt structure.

Cell: 6.713 6.713 4.874 Å, 90.00 90.00 90.00°
Space group P4/mmm (No. 123)
Unique sites:
Cs 0.000 0.500 0.000 (multiplicity 2)
Zn 0.000 0.000 0.500 (multiplicity 1)
Ag 0.500 0.500 0.500 (multiplicity 1)
Pt 0.000 0.000 0.000 (multiplicity 1)

Calculated values
* magnetic moment: 0.00 μB per atom
* formation energy from the elements: 43.8 meV/atom
* DFT total energy: -0.1713 Ry per atom
* calculated density: 4.79 g/cm³
* DOS at the Fermi energy: 0.47 states/eV/atom

***

## CsZn2AgPt (GGA-PBE)

Data for a geometry-optimized CsZn2AgPt structure.

Cell: 4.995 4.995 5.451 Å, 90.00 90.00 90.00°
Space group P4/mmm (No. 123)
Unique sites:
Cs 0.000 0.000 0.000 (multiplicity 1)
Zn 0.000 0.500 0.500 (multiplicity 2)
Ag 0.500 0.500 0.000 (multiplicity 1)
Pt 0.500 0.500 0.500 (multiplicity 1)

Calculated values
* magnetic moment: 0.00 μB per atom
* formation energy from the elements: -102.2 meV/atom
* DFT total energy: -0.1882 Ry per atom
* calculated density: 6.92 g/cm³
* DOS at the Fermi energy: 0.37 states/eV/atom

***

## Cs3Pu2AgS6 (GGA-PBE)

Data for a geometry-optimized Cs3Pu2AgS6 structure.

Cell: 7.058 12.389 8.317 Å, 90.00 106.06 90.00°
Space group C2/m (No. 12)
Unique sites:
Cs 0.000 0.000 0.000 (multiplicity 2)
Cs 0.000 0.343 0.000 (multiplicity 4)
Pu 0.000 0.167 0.500 (multiplicity 4)
Ag 0.000 0.500 0.500 (multiplicity 2)
S 0.210 0.000 0.675 (multiplicity 4)
S 0.240 0.320 0.684 (multiplicity 8)

Calculated values
* magnetic moment: 0.67 μB per atom
* DFT total energy: -0.4479 Ry per atom
* calculated density: 5.64 g/cm³
* DOS at the Fermi energy: 1.05 states/eV/atom

***

## CsPu4Ag3S12 (GGA-PBE)

Data for a geometry-optimized CsPu4Ag3S12 structure.

Cell: 9.911 9.911 9.911 Å, 90.00 90.00 90.00°
Space group Im-3 (No. 204)
Unique sites:
Cs 0.000 0.000 0.000 (multiplicity 2)
Pu 0.250 0.250 0.250 (multiplicity 8)
Ag 0.000 0.000 0.500 (multiplicity 6)
S 0.000 0.179 0.312 (multiplicity 24)

Calculated values
* magnetic moment: 0.66 μB per atom
* DFT total energy: -0.4870 Ry per atom
* calculated density: 6.20 g/cm³
* DOS at the Fermi energy: 1.70 states/eV/atom

***

## Cs2Pu2AgS6 (GGA-PBE)

Data for a geometry-optimized Cs2Pu2AgS6 structure.

Cell: 6.760 12.148 8.488 Å, 90.00 104.17 90.00°
Space group C2/m (No. 12)
Unique sites:
Cs 0.000 0.157 0.000 (multiplicity 4)
Pu 0.000 0.335 0.500 (multiplicity 4)
Ag 0.000 0.000 0.500 (multiplicity 2)
S 0.210 0.500 0.672 (multiplicity 4)
S 0.233 0.182 0.679 (multiplicity 8)

Calculated values
* magnetic moment: 0.64 μB per atom
* DFT total energy: -0.4720 Ry per atom
* calculated density: 5.18 g/cm³
* DOS at the Fermi energy: 1.10 states/eV/atom

***

## CsPuAgS3 (GGA-PBE)

Data for a geometry-optimized CsPuAgS3 structure.

Cell: 4.140 15.497 10.470 Å, 90.00 90.00 90.00°
Space group Cmcm (No. 63)
Unique sites:
Cs 0.000 0.239 0.250 (multiplicity 4)
Pu 0.000 0.500 0.000 (multiplicity 4)
Ag 0.000 0.045 0.750 (multiplicity 4)
S 0.000 0.112 0.536 (multiplicity 8)
S 0.000 0.447 0.750 (multiplicity 4)

Calculated values
* magnetic moment: 0.67 μB per atom
* DFT total energy: -0.4578 Ry per atom
* calculated density: 5.74 g/cm³
* DOS at the Fermi energy: 1.33 states/eV/atom

***

## Cs3Pu3AgS8 (GGA-PBE)

Data for a geometry-optimized Cs3Pu3AgS8 structure.

Cell: 13.969 8.078 9.326 Å, 90.00 119.88 90.00°
Space group C2/m (No. 12)
Unique sites:
Cs 0.000 0.000 0.000 (multiplicity 2)
Cs 0.250 0.250 0.000 (multiplicity 4)
Pu 0.000 0.500 0.500 (multiplicity 2)
Pu 0.250 0.250 0.500 (multiplicity 4)
Ag 0.000 0.000 0.500 (multiplicity 2)
S 0.029 0.264 0.323 (multiplicity 8)
S 0.227 0.500 0.680 (multiplicity 4)
S 0.233 0.000 0.676 (multiplicity 4)

Calculated values
* magnetic moment: 0.80 μB per atom
* DFT total energy: -0.4911 Ry per atom
* calculated density: 5.44 g/cm³
* DOS at the Fermi energy: 1.59 states/eV/atom

***

## Cs2PuAg2S4 (GGA-PBE)

Data for a geometry-optimized Cs2PuAg2S4 structure.

Cell: 15.223 4.196 8.206 Å, 90.00 108.53 90.00°
Space group C2/m (No. 12)
Unique sites:
Cs 0.137 0.000 0.067 (multiplicity 4)
Pu 0.000 0.000 0.500 (multiplicity 2)
Ag 0.178 0.500 0.482 (multiplicity 4)
S 0.012 0.500 0.287 (multiplicity 4)
S 0.186 0.000 0.671 (multiplicity 4)

Calculated values
* magnetic moment: 0.44 μB per atom
* DFT total energy: -0.3844 Ry per atom
* calculated density: 5.71 g/cm³
* DOS at the Fermi energy: 1.02 states/eV/atom

***

## Cs2PuAgSe4 (GGA-PBE)

Data for a geometry-optimized Cs2PuAgSe4 structure.

Cell: 6.619 15.190 26.112 Å, 90.00 90.00 90.00°
Space group Fddd (No. 70, origin choice 2)
Unique sites:
Cs 0.125 0.125 0.304 (multiplicity 16)
Pu 0.125 0.125 0.125 (multiplicity 8)
Ag 0.125 0.125 0.625 (multiplicity 8)
Se 0.124 0.269 0.426 (multiplicity 32)

Calculated values
* magnetic moment: 0.37 μB per atom
* DFT total energy: -0.3623 Ry per atom
* calculated density: 4.72 g/cm³
* DOS at the Fermi energy: 1.61 states/eV/atom

***

## CsPu4Ag3Se12 (GGA-PBE)

Data for a geometry-optimized CsPu4Ag3Se12 structure.

Cell: 10.430 10.430 10.430 Å, 90.00 90.00 90.00°
Space group Im-3 (No. 204)
Unique sites:
Cs 0.000 0.000 0.000 (multiplicity 2)
Pu 0.250 0.250 0.250 (multiplicity 8)
Ag 0.000 0.000 0.500 (multiplicity 6)
Se 0.000 0.316 0.174 (multiplicity 24)

Calculated values
* magnetic moment: 0.81 μB per atom
* DFT total energy: -0.4521 Ry per atom
* calculated density: 6.97 g/cm³
* DOS at the Fermi energy: 1.98 states/eV/atom

***

## Cs4Pu3AgSe8 (GGA-PBE)

Data for a geometry-optimized Cs4Pu3AgSe8 structure.

Cell: 8.6058 8.6058 24.8667 Å, 90.00 90.00 120.00°
Space group R-3m (No. 166, hexagonal axes)
Unique sites:
Cs 0.0000 0.0000 0.0000 (multiplicity 3)
Cs 0.0000 0.5000 0.0000 (multiplicity 9)
Pu 0.0000 0.5000 0.5000 (multiplicity 9)
Ag 0.0000 0.0000 0.5000 (multiplicity 3)
Se 0.0000 0.0000 0.2283 (multiplicity 6)
Se 0.0113 0.5057 0.7729 (multiplicity 18)

Calculated values
* magnetic moment: 0.81 μB per atom
* DFT total energy: -0.4421 Ry per atom
* calculated density: 6.26 g/cm³
* DOS at the Fermi energy: 1.73 states/eV/atom

***

## CsPu2AgSe4 (GGA-PBE)

Data for a geometry-optimized CsPu2AgSe4 structure.

Cell: 4.323 14.671 14.874 Å, 90.00 90.00 90.00°
Space group Cmcm (No. 63)
Unique sites:
Cs 0.000 0.115 0.250 (multiplicity 4)
Pu 0.000 0.369 0.062 (multiplicity 8)
Ag 0.000 0.165 0.750 (multiplicity 4)
Se 0.000 0.000 0.000 (multiplicity 4)
Se 0.000 0.258 0.599 (multiplicity 8)
Se 0.000 0.434 0.250 (multiplicity 4)

Calculated values
* magnetic moment: 1.25 μB per atom
* DFT total energy: -0.5146 Ry per atom
* calculated density: 7.35 g/cm³
* DOS at the Fermi energy: 2.80 states/eV/atom